[1]
# CaEuMn4O12 | Alexandria | PBE+U | optimized geometry
data_CaEuMn4O12
_symmetry_space_group_name_H-M 'P 4/m m m'
_symmetry_Int_Tables_number 123
_symmetry_space_group_name_Hall '-P 4 2'
_cell_length_a 5.335
_cell_length_b 5.335
_cell_length_c 7.556
_cell_angle_alpha 90.00
_cell_angle_beta 90.00
_cell_angle_gamma 90.00
loop_
_atom_site_label
_atom_site_type_symbol
_atom_site_fract_x
_atom_site_fract_y
_atom_site_fract_z
Ca1 Ca 0.000 0.000 0.000
Eu1 Eu 0.500 0.500 0.500
Mn1 Mn 0.000 0.500 0.248
O1 O 0.000 0.500 0.000
O2 O 0.000 0.500 0.500
O3 O 0.253 0.253 0.256
# **M_tot**: 1.175 μB per atom

[2]
# SrCaEuMnO6 | Alexandria | PBE+U | optimized geometry
data_SrCaEuMnO6
_symmetry_space_group_name_H-M 'F -4 3 m'
_symmetry_Int_Tables_number 216
_symmetry_space_group_name_Hall 'F -4 2 3'
_cell_length_a 8.151
_cell_length_b 8.151
_cell_length_c 8.151
_cell_angle_alpha 90.00
_cell_angle_beta 90.00
_cell_angle_gamma 90.00
loop_
_atom_site_label
_atom_site_type_symbol
_atom_site_fract_x
_atom_site_fract_y
_atom_site_fract_z
Sr1 Sr 0.000 0.000 0.000
Ca1 Ca 0.250 0.250 0.750
Eu1 Eu 0.000 0.000 0.500
Mn1 Mn 0.250 0.250 0.250
O1 O 0.019 0.250 0.250
# **M_tot**: 0.797 μB per atom

[3]
# CaEuMnWO6 | Alexandria | PBE+U | optimized geometry
data_CaEuMnWO6
_symmetry_space_group_name_H-M 'F -4 3 m'
_symmetry_Int_Tables_number 216
_symmetry_space_group_name_Hall 'F -4 2 3'
_cell_length_a 8.093
_cell_length_b 8.093
_cell_length_c 8.093
_cell_angle_alpha 90.00
_cell_angle_beta 90.00
_cell_angle_gamma 90.00
loop_
_atom_site_label
_atom_site_type_symbol
_atom_site_fract_x
_atom_site_fract_y
_atom_site_fract_z
Ca1 Ca 0.000 0.000 0.000
Eu1 Eu 0.000 0.000 0.500
Mn1 Mn 0.250 0.250 0.750
W1 W 0.250 0.250 0.250
O1 O 0.010 0.250 0.250
# **M_tot**: 1.201 μB per atom

[4]
# CaEuZrMnO6 | Alexandria | PBE+U | optimized geometry
data_CaEuZrMnO6
_symmetry_space_group_name_H-M 'F -4 3 m'
_symmetry_Int_Tables_number 216
_symmetry_space_group_name_Hall 'F -4 2 3'
_cell_length_a 7.988
_cell_length_b 7.988
_cell_length_c 7.988
_cell_angle_alpha 90.00
_cell_angle_beta 90.00
_cell_angle_gamma 90.00
loop_
_atom_site_label
_atom_site_type_symbol
_atom_site_fract_x
_atom_site_fract_y
_atom_site_fract_z
Ca1 Ca 0.000 0.000 0.000
Eu1 Eu 0.000 0.000 0.500
Zr1 Zr 0.250 0.250 0.750
Mn1 Mn 0.250 0.250 0.250
O1 O 0.009 0.250 0.250
# **M_tot**: 1.000 μB per atom

We obtain volume values of 11.95 13.54 13.25 12.74 Å³/atom for the records listed above, in that order.
We obtain total energy values of -125.61 -289.62 -321.26 -336.47 eV for the cell shown for the records listed above, in that order.